Record 1
# NdTmTh, relaxed, DFT PBE
data_NdTmTh
_symmetry_space_group_name_H-M 'P 1'
_symmetry_Int_Tables_number 1
_cell_length_a 6.636
_cell_length_b 6.880
_cell_length_c 8.894
_cell_angle_alpha 90.00
_cell_angle_beta 102.36
_cell_angle_gamma 90.00
loop_
_symmetry_equiv_pos_as_xyz
'x,y,z'
loop_
_atom_site_label
_atom_site_fract_x
_atom_site_fract_y
_atom_site_fract_z
Th1 0.416 0.220 0.004
Nd1 0.658 0.600 0.664
Tm1 0.365 0.898 0.325
Tm2 0.865 0.602 0.325
Tm3 0.635 0.102 0.675
Nd2 0.342 0.400 0.336
Th2 0.584 0.780 0.996
Nd3 0.158 0.900 0.664
Th3 0.084 0.720 0.996
Th4 0.916 0.280 0.004
Tm4 0.135 0.398 0.675
Nd4 0.842 0.100 0.336
# * electronic total energy: -5.380 eV per atom
# * relative energy among the computed polymorphs: 139 meV/atom
# * ΔE_f: 0.1730 eV/atom
# * total magnetization: 0.000 μB per formula unit

=====

Record 2
# NdTm7Th3, relaxed, DFT PBE
data_NdTm7Th3
_symmetry_space_group_name_H-M 'P 1'
_symmetry_Int_Tables_number 1
_cell_length_a 8.500
_cell_length_b 7.021
_cell_length_c 7.021
_cell_angle_alpha 120.00
_cell_angle_beta 90.00
_cell_angle_gamma 90.00
loop_
_symmetry_equiv_pos_as_xyz
'x,y,z'
loop_
_atom_site_label
_atom_site_fract_x
_atom_site_fract_y
_atom_site_fract_z
Tm1 0.450 0.832 0.168
Tm2 0.114 0.666 0.833
Tm3 0.450 0.336 0.168
Tm4 0.114 0.667 0.333
Th1 0.785 0.501 0.499
Tm5 0.114 0.167 0.334
Th2 0.785 0.997 0.499
Tm6 0.114 0.167 0.833
Tm7 0.450 0.832 0.664
Th3 0.785 0.501 0.003
Nd1 0.454 0.333 0.667
# * electronic total energy: -5.087 eV per atom
# * ΔE_f: 0.2154 eV/atom
# * total magnetization: 0.000 μB per formula unit

=====

Record 3
# Nd2Tm4Th3, relaxed, DFT PBE
data_Nd2Tm4Th3
_symmetry_space_group_name_H-M 'P 1'
_symmetry_Int_Tables_number 1
_cell_length_a 3.557
_cell_length_b 3.557
_cell_length_c 26.536
_cell_angle_alpha 90.00
_cell_angle_beta 90.00
_cell_angle_gamma 120.00
loop_
_symmetry_equiv_pos_as_xyz
'x,y,z'
loop_
_atom_site_label
_atom_site_fract_x
_atom_site_fract_y
_atom_site_fract_z
Nd1 0.667 0.333 0.869
Tm1 0.667 0.333 0.437
Th1 0.000 0.000 0.326
Nd2 0.667 0.333 0.093
Tm2 0.667 0.333 0.220
Th2 0.667 0.333 0.650
Tm3 0.000 0.000 0.541
Tm4 0.000 0.000 0.758
Th3 0.000 0.000 0.982
# * electronic total energy: -5.439 eV per atom
# * ΔE_f: 0.0808 eV/atom
# * total magnetization: 0.000 μB per formula unit

=====

Record 4
# Nd7Tm3Th, relaxed, DFT PBE
data_Nd7Tm3Th
_symmetry_space_group_name_H-M 'P 1'
_symmetry_Int_Tables_number 1
_cell_length_a 10.294
_cell_length_b 10.290
_cell_length_c 12.591
_cell_angle_alpha 115.03
_cell_angle_beta 65.01
_cell_angle_gamma 139.09
loop_
_symmetry_equiv_pos_as_xyz
'x,y,z'
loop_
_atom_site_label
_atom_site_fract_x
_atom_site_fract_y
_atom_site_fract_z
Nd1 0.730 0.731 0.250
Nd2 0.912 0.586 0.479
Nd3 0.585 0.911 0.021
Nd4 0.415 0.089 0.979
Nd5 0.169 0.841 0.226
Nd6 0.270 0.269 0.750
Tm1 0.000 0.000 0.500
Th1 0.500 0.500 0.000
Tm2 0.328 0.663 0.772
Nd7 0.910 0.579 0.973
Tm3 0.672 0.337 0.228
Tm4 0.000 0.000 0.000
Nd8 0.090 0.421 0.027
Tm5 0.335 0.671 0.272
Th2 0.500 0.500 0.500
Nd9 0.831 0.159 0.774
Nd10 0.840 0.168 0.274
Tm6 0.665 0.329 0.728
Nd11 0.088 0.414 0.521
Nd12 0.160 0.832 0.726
Nd13 0.579 0.910 0.527
Nd14 0.421 0.090 0.473
# * electronic total energy: -4.734 eV per atom
# * ΔE_f: 0.1942 eV/atom
# * total magnetization: 0.000 μB per formula unit